[1]
12
Lattice="4.8566 0.0000 0.0000 0.0000 7.5239 0.0000 0.0000 0.0000 9.3798" Properties=species:S:1:pos:R:3 comment="Na2PmZnBi2 | Alexandria via LeMat-Bulk | PBE | optimized geometry" spacegroup="Pmc2_1 (26)" magmom_total_mub_per_cell=0.00 energy_ev_per_atom=-3.162 crystal_system=orthorhombic e_form_ev_per_atom=-0.42 pbc="T T T"
Na 2.4283 0.1346 0.5802
Na 0.0000 2.4506 1.3715
Na 2.4283 3.8966 8.7996
Na 0.0000 6.2125 8.0083
Pm 0.0000 0.0597 4.5279
Pm 0.0000 3.8217 4.8519
Zn 2.4283 1.3074 6.2274
Zn 2.4283 5.0694 3.1525
Bi 0.0000 1.9108 7.5870
Bi 2.4283 2.0039 3.3383
Bi 0.0000 5.6727 1.7928
Bi 2.4283 5.7659 6.0416

=====

[2]
10
Lattice="3.9768 0.0000 0.0000 0.0000 3.9768 0.0000 0.0000 0.0000 10.1313" Properties=species:S:1:pos:R:3 comment="Pr2Be4Ge3Ru | Alexandria via LeMat-Bulk | PBE | optimized geometry" spacegroup="P-4m2 (115)" magmom_total_mub_per_cell=0.00 energy_ev_per_atom=-5.139 crystal_system=tetragonal e_form_ev_per_atom=-0.38 pbc="T T T"
Pr 1.9884 0.0000 2.5100
Pr 0.0000 1.9884 7.6213
Be 1.9884 1.9884 0.0000
Be 0.0000 0.0000 0.0000
Be 1.9884 0.0000 6.3554
Be 0.0000 1.9884 3.7759
Ge 0.0000 0.0000 5.0656
Ge 1.9884 0.0000 8.8151
Ge 0.0000 1.9884 1.3162
Ru 1.9884 1.9884 5.0656

=====

[3]
5
Lattice="-2.0461 -3.0848 -2.1802 3.7395 -1.3034 -1.6653 0.5343 -2.6909 3.3060" Properties=species:S:1:pos:R:3 comment="TaHgF3 | Alexandria via LeMat-Bulk | PBE | optimized geometry" spacegroup="Pm-3m (221)" magmom_total_mub_per_cell=2.00 energy_ev_per_atom=-5.295 crystal_system=cubic formation_energy_uncorrected_ev_per_atom=-1.7417 pbc="T T T"
F 1.8698 -0.6517 -0.8326
F 0.2671 -1.3455 1.6530
F -1.0231 -1.5424 -1.0901
Hg 1.1138 -3.5396 -0.2698
Ta 0.0000 0.0000 0.0000

=====

[4]
7
Lattice="-2.5912 2.5912 5.0131 2.5912 -2.5912 5.0131 2.5912 2.5912 -5.0131" Properties=species:S:1:pos:R:3 comment="LiAg2F4 | Alexandria via LeMat-Bulk | PBE | optimized geometry" spacegroup="I-4 (82)" magmom_total_mub_per_cell=0.91 energy_ev_per_atom=-3.664 crystal_system=tetragonal formation_energy_uncorrected_ev_per_atom=-1.5065 pbc="T T T"
Li 0.0000 0.0000 0.0000
Ag 2.5912 0.0000 2.5066
Ag 0.0000 0.0000 5.0131
F 1.6241 -1.2016 4.1581
F 1.3896 0.9671 0.8551
F 0.9671 3.7928 -0.8551
F 1.2016 1.6241 5.8682

=====

[5]
12
Lattice="6.4229 0.0000 0.0000 0.0000 6.4204 -0.1286 -3.2115 -1.7664 8.0089" Properties=species:S:1:pos:R:3 comment="Pm3ZnSn2 | Alexandria via LeMat-Bulk | PBE | optimized geometry" spacegroup="C2/c (15)" magmom_total_mub_per_cell=0.00 energy_ev_per_atom=-4.428 crystal_system=monoclinic e_form_ev_per_atom=-0.51 pbc="T T T"
Pm 4.2775 1.6051 -0.0322
Pm 2.1454 4.8153 -0.0965
Pm 0.6847 0.0692 2.7216
Pm 3.8962 1.3746 5.2230
Pm -0.6847 3.2794 2.6573
Pm 2.5268 4.5848 5.1586
Zn 5.4659 4.8153 -0.0965
Zn 0.9571 1.6051 -0.0322
Sn 2.5475 2.9098 2.4280
Sn 3.8754 -0.3004 2.4923
Sn -0.6639 4.9544 5.3879
Sn 0.6639 1.7442 5.4522

=====

[6]
4
Lattice="-1.3542 1.8542 4.4806 0.3769 -2.8602 4.1261 3.5068 1.0272 3.4634" Properties=species:S:1:pos:R:3 comment="TbLuZnAu | Alexandria via LeMat-Bulk | PBE | optimized geometry" spacegroup="F-43m (216)" magmom_total_mub_per_cell=0.00 energy_ev_per_atom=-4.029 crystal_system=cubic e_form_ev_per_atom=-0.60 pbc="T T T"
Tb 1.8972 0.0159 9.0526
Zn 0.0000 0.0000 0.0000
Lu 0.6324 0.0053 3.0175
Au 1.2648 0.0106 6.0351

=====

[7]
4
Lattice="-1.6017 1.6552 4.3886 -4.4541 2.1429 0.3649 -3.6927 -2.3412 2.3340" Properties=species:S:1:pos:R:3 comment="KAs2F | Alexandria via LeMat-Bulk | PBE | optimized geometry" spacegroup="Fm-3m (225)" magmom_total_mub_per_cell=0.00 energy_ev_per_atom=-2.877 crystal_system=cubic formation_energy_uncorrected_ev_per_atom=0.1900 pbc="T T T"
As -2.4371 0.3642 1.7719
As -7.3114 1.0927 5.3156
K -4.8742 0.7285 3.5437
F 0.0000 0.0000 0.0000

=====

[8]
4
Lattice="-1.1463 -2.0380 -3.3608 0.9272 -3.9673 -0.4043 -4.3365 -3.2217 0.9390" Properties=species:S:1:pos:R:3 comment="GdSi2Os | Alexandria via LeMat-Bulk | PBE | optimized geometry" spacegroup="R-3m (166)" magmom_total_mub_per_cell=6.94 energy_ev_per_atom=-9.694 crystal_system=trigonal formation_energy_uncorrected_ev_per_atom=-0.6546 pbc="T T T"
Si -2.9353 -6.7826 -2.3673
Si -1.6203 -2.4445 -0.4588
Gd 0.0000 0.0000 0.0000
Os -2.2778 -4.6135 -1.4130